Run w
## Mg3NiSb (PBE-GGA)

Data for a relaxed Mg3NiSb crystal.

Output
Total magnetization   0.00 μB/cell

Unit cell a=4.8150 b=4.8150 c=4.8150 alpha=90.00 beta=90.00 gamma=90.00
With the nearest neighbours (Å) after each atom.
Space group Pm-3m (No. 221)
Unique sites:
Mg 0.0000 0.0000 0.5000 x3  2 Ni 2.41
Ni 0.0000 0.0000 0.0000 x1  6 Mg 2.41
Sb 0.5000 0.5000 0.5000 x1  12 Mg 3.40

Run x
## Mg3NiSb (PBE-GGA)

Data for a relaxed Mg3NiSb crystal.

Output
Total magnetization   0.00 μB/cell

Unit cell a=5.2839 b=5.2839 c=5.2839 alpha=90.00 beta=90.00 gamma=90.00
With the nearest neighbours (Å) after each atom.
Space group Pm-3m (No. 221)
Unique sites:
Mg 0.0000 0.0000 0.5000 x3  2 Sb 2.64
Ni 0.5000 0.5000 0.5000 x1  12 Mg 3.74
Sb 0.0000 0.0000 0.0000 x1  6 Mg 2.64

Of the structures shown above, run x is the least stable.